This record from Alexandria via LeMat-Bulk describes a relaxed KHfB2 crystal. The functional is GGA-PBE.

a b c (Å): 4.486 4.486 4.486
angles (deg): 60.00 60.00 60.00
Element x y z (fractional)
K1 0.000 0.000 0.000
B1 0.250 0.250 0.250
B2 0.750 0.750 0.750
Hf1 0.500 0.500 0.500

Computed properties:
- energy (eV per atom) = -4.70
- E_form (eV per atom) = 1.405
- energy relative to the lowest polymorph listed for this composition (meV per atom) = 104
- V (Å³/cell) = 63.8
- DOS(E_F) (states/eV per atom) = 0.75

***

This record from Alexandria via LeMat-Bulk describes a relaxed KHf3B crystal. The functional is GGA-PBE.

a b c (Å): 4.750 4.750 4.750
angles (deg): 90.00 90.00 90.00
Element x y z (fractional)
K1 0.000 0.000 0.000
B1 0.500 0.500 0.500
Hf1 0.000 0.500 0.000
Hf2 0.000 0.000 0.500
Hf3 0.500 0.000 0.000

Computed properties:
- energy (eV per atom) = -4.55
- E_form (eV per atom) = 2.980
- energy relative to the lowest polymorph listed for this composition (meV per atom) = 2332
- V (Å³/cell) = 107.2
- DOS(E_F) (states/eV per atom) = 1.73

***

This record from Alexandria via LeMat-Bulk describes a relaxed KHf3B crystal. The functional is GGA-PBE.

a b c (Å): 4.815 4.815 4.815
angles (deg): 90.00 90.00 90.00
Element x y z (fractional)
K1 0.500 0.500 0.500
B1 0.000 0.000 0.000
Hf1 0.000 0.500 0.000
Hf2 0.000 0.000 0.500
Hf3 0.500 0.000 0.000

Computed properties:
- energy (eV per atom) = -6.88
- E_form (eV per atom) = 0.648
- energy relative to the lowest polymorph listed for this composition (meV per atom) = 0
- V (Å³/cell) = 111.7
- DOS(E_F) (states/eV per atom) = 1.89

***

This record from Alexandria via LeMat-Bulk describes a relaxed KHfB2 crystal. The functional is GGA-PBE.

a b c (Å): 5.173 5.173 8.374
angles (deg): 72.01 72.01 90.00
Element x y z (fractional)
K1 0.500 0.500 0.000
K2 0.250 0.750 0.500
B1 0.869 0.125 0.250
B2 0.881 0.625 0.250
B3 0.375 0.131 0.750
B4 0.875 0.119 0.750
Hf1 0.000 0.000 0.000
Hf2 0.750 0.250 0.500

Computed properties:
- energy (eV per atom) = -4.80
- E_form (eV per atom) = 1.301
- energy relative to the lowest polymorph listed for this composition (meV per atom) = 0
- V (Å³/cell) = 201.6
- DOS(E_F) (states/eV per atom) = 0.78

***

This record from Alexandria via LeMat-Bulk describes a relaxed KHfB3 crystal. The functional is GGA-PBE.

a b c (Å): 4.642 4.642 4.642
angles (deg): 90.00 90.00 90.00
Element x y z (fractional)
K1 0.500 0.500 0.500
B1 0.000 0.500 0.000
B2 0.000 0.000 0.500
B3 0.500 0.000 0.000
Hf1 0.000 0.000 0.000

Computed properties:
- energy (eV per atom) = -4.77
- E_form (eV per atom) = 1.443
- energy relative to the lowest polymorph listed for this composition (meV per atom) = 0
- V (Å³/cell) = 100.0
- DOS(E_F) (states/eV per atom) = 1.70

***

This record from Alexandria via LeMat-Bulk describes a relaxed KHf3B4O12 crystal. The functional is GGA-PBE.

a b c (Å): 6.388 6.388 6.388
angles (deg): 102.60 102.60 102.60
Element x y z (fractional)
K1 0.000 0.000 0.000
Hf1 0.546 0.454 0.000
Hf2 0.454 0.000 0.546
Hf3 0.000 0.546 0.454
B1 0.951 0.049 0.500
B2 0.049 0.500 0.951
B3 0.500 0.951 0.049
B4 0.500 0.500 0.500
O1 0.500 0.360 0.640
O2 0.908 0.500 0.092
O3 0.092 0.908 0.500
O4 0.500 0.092 0.908
O5 0.410 0.993 0.225
O6 0.225 0.410 0.993
O7 0.993 0.225 0.410
O8 0.590 0.775 0.007
O9 0.007 0.590 0.775
O10 0.775 0.007 0.590
O11 0.640 0.500 0.360
O12 0.360 0.640 0.500

Computed properties:
- energy (eV per atom) = -8.64
- formation energy without anion corrections (eV/atom) = -2.779
- V (Å³/cell) = 238.4
- DOS(E_F) (states/eV per atom) = 0.25

***

This record from Alexandria via LeMat-Bulk describes a relaxed K2HfBPb crystal. The functional is GGA-PBE.

a b c (Å): 6.985 4.083 6.985
angles (deg): 90.00 90.00 90.00
Site moments in Bohr magnetons follow the coordinates.
Element x y z (fractional)
Pb1 0.000 0.000 0.000  -0.07
K1 0.000 0.000 0.500  0.03
K2 0.500 0.000 0.000  0.02
B1 0.000 0.500 0.000  0.11
Hf1 0.500 0.500 0.500  1.42

Computed properties:
- energy (eV per atom) = -2.98
- E_form (eV per atom) = 1.531
- V (Å³/cell) = 199.2
- DOS(E_F) (states/eV per atom) = 1.17

***

This record from Alexandria via LeMat-Bulk describes a relaxed KHfB2Ru crystal. The functional is GGA-PBE.

a b c (Å): 4.340 4.514 4.340
angles (deg): 90.00 90.00 90.00
Element x y z (fractional)
Ru1 0.000 0.500 0.000
K1 0.000 0.000 0.000
B1 0.000 0.000 0.500
B2 0.500 0.000 0.000
Hf1 0.500 0.500 0.500

Computed properties:
- energy (eV per atom) = -3.97
- E_form (eV per atom) = 2.762
- V (Å³/cell) = 85.0
- DOS(E_F) (states/eV per atom) = 0.89

***

> What is the energy in the first record?

-4.70 eV per atom